Computed, not measured: an optimized crystal structure of VCrTe at the PBE level of DFT.

Properties
The symmetry is C2/m. For the mass density, the calculation gives 6.04 Mg/m³. The calculation puts the energy at -7.033 eV per atom. Its uncorrected formation energy is 0.26 eV/atom.

Cell: 4.2537 4.2537 10.9882 Å, 106.93 106.93 42.19°
With the nearest neighbours (Å) after each atom.
Fractional positions:
V: 0.1602 0.1602 0.0624  4 Cr 2.45-2.59, 3 V 2.48-2.74
V: 0.8398 0.8398 0.9376  4 Cr 2.45-2.59, 3 V 2.48-2.74
Cr: 0.0854 0.0854 0.8286  4 V 2.45-2.59
Cr: 0.9146 0.9146 0.1714  4 V 2.45-2.59
Te: 0.2796 0.2796 0.3265  3 Cr 2.75-2.87, 1 V 2.76, 2 Te 3.06
Te: 0.7204 0.7204 0.6735  3 Cr 2.75-2.87, 1 V 2.76, 2 Te 3.06